First-principles (PBE-GGA) data for a relaxed BaCI3 crystal, as listed in the Alexandria database.

Results
Total magnetic moment in μB per formula unit: 1.0
Uncorrected energy in Ry per atom: -0.17828
Fermi-level density of states in states/eV/atom: 3.9944
Energy above the lowest structure with this stoichiometry in meV per atom: 684.4

Lattice parameters (Å, degrees): 6.828 6.828 6.828 90.00 90.00 90.00
Space group Pm-3m (No. 221)
Unique sites:
Ba 0.000 0.000 0.000 (multiplicity 1)
C 0.500 0.500 0.500 (multiplicity 1)
I 0.000 0.000 0.500 (multiplicity 3)